Material: Li2Y2Al
Method: DFT, PBE-GGA
State: optimized geometry

a = 6.928 Å, b = 6.928 Å, c = 4.738 Å
α = 90.00°, β = 90.00°, γ = 90.00°
Last column: magnetic moment on the atom in μB.
Element x y z (fractional)
Y 0.690 0.810 0.500  0.18
Y 0.310 0.190 0.500  0.18
Y 0.190 0.690 0.500  0.18
Y 0.810 0.310 0.500  0.18
Al 0.000 0.000 0.000  0.00
Al 0.500 0.500 0.000  0.00
Li 0.373 0.873 0.000  0.02
Li 0.127 0.373 0.000  0.02
Li 0.873 0.627 0.000  0.02
Li 0.627 0.127 0.000  0.02

The value obtained for the volume is 227 Å³ per cell. The energy above the most stable polymorph in this dataset comes out at 0 meV/atom. The space-group type is P4/mbm. The value obtained for the energy of formation from the pure elements is -0.035 eV per atom. The value obtained for the total energy is -4.134 eV per atom.

---

Material: LiPaTl2
Method: DFT, PBE-GGA
State: optimized geometry

a = 3.387 Å, b = 3.387 Å, c = 8.077 Å
α = 90.00°, β = 90.00°, γ = 90.00°
Last column: magnetic moment on the atom in μB.
Element x y z (fractional)
Pa 0.500 0.500 0.500  0.79
Tl 0.000 0.000 0.212  0.00
Tl 0.000 0.000 0.788  0.00
Li 0.500 0.500 0.000  0.00

The value obtained for the volume is 93 Å³ per cell. The energy above the most stable polymorph in this dataset comes out at 0 meV/atom. The space-group type is P4/mmm. The value obtained for the energy of formation from the pure elements is 0.014 eV per atom. The value obtained for the total energy is -4.022 eV per atom.

---

Material: La4AsP2Br
Method: DFT, PBE-GGA
State: optimized geometry

a = 4.290 Å, b = 7.543 Å, c = 7.442 Å
α = 71.00°, β = 90.00°, γ = 90.00°
Element x y z (fractional)
P 0.000 0.000 0.000
P 0.500 0.000 0.500
La 0.000 0.775 0.731
La 0.500 0.765 0.254
La 0.000 0.225 0.269
La 0.500 0.235 0.746
As 0.000 0.500 0.500
Br 0.500 0.500 0.000

The value obtained for the volume is 228 Å³ per cell. The space-group type is P2/m. The value obtained for the total energy is -6.228 eV per atom.

---

Material: Pm4SO5
Method: DFT, PBE-GGA
State: optimized geometry

a = 5.776 Å, b = 7.409 Å, c = 9.082 Å
α = 90.00°, β = 90.00°, γ = 90.00°
Element x y z (fractional)
Pm 0.972 0.500 0.774
Pm 0.514 0.243 0.500
Pm 0.486 0.743 0.000
Pm 0.514 0.757 0.500
Pm 0.972 0.500 0.226
Pm 0.486 0.257 0.000
Pm 0.028 0.000 0.726
Pm 0.028 0.000 0.274
O 0.233 0.255 0.818
O 0.233 0.745 0.818
O 0.269 0.000 0.500
O 0.767 0.245 0.682
O 0.767 0.755 0.682
O 0.233 0.745 0.182
O 0.233 0.255 0.182
O 0.731 0.500 0.000
O 0.767 0.245 0.318
O 0.767 0.755 0.318
S 0.190 0.500 0.500
S 0.810 0.000 0.000

The value obtained for the volume is 389 Å³ per cell. The space-group type is Pmmn. The value obtained for the total energy is -7.762 eV per atom.